(1)
# Ta2CrRu | Alexandria | SCAN | single point on PBEsol structure
# Magnetic moment in μB/cell: 0.0
# Energy relative to the lowest polymorph listed for this composition in meV per atom: 328
data_Ta2CrRu
_chemical_formula_sum 'Ta4 Cr2 Ru2'
_cell_length_a 3.1361
_cell_length_b 4.6035
_cell_length_c 8.3150
_cell_angle_alpha 90.00
_cell_angle_beta 90.00
_cell_angle_gamma 90.00
_space_group_name_H-M_alt 'C m m m'
_space_group_IT_number 65
_space_group_name_Hall '-C 2 2'
loop_
_atom_site_label
_atom_site_fract_x
_atom_site_fract_y
_atom_site_fract_z
_atom_site_occupancy
Ta1 0.0000 0.0000 0.2425 1
Cr1 0.0000 0.5000 0.0000 1
Ru1 0.0000 0.5000 0.5000 1

(2)
# TaCrRu2 | Alexandria | SCAN | single point on PBEsol structure
# Magnetic moment in μB/cell: 0.0
# Raw total energy in eV/atom: -38.4126
data_TaCrRu2
_chemical_formula_sum 'Ta3 Cr3 Ru6'
_cell_length_a 2.7203
_cell_length_b 2.7203
_cell_length_c 26.3277
_cell_angle_alpha 90.00
_cell_angle_beta 90.00
_cell_angle_gamma 120.00
_space_group_name_H-M_alt 'R 3 m'
_space_group_IT_number 160
_space_group_name_Hall 'R 3 -2"'
loop_
_atom_site_label
_atom_site_fract_x
_atom_site_fract_y
_atom_site_fract_z
_atom_site_occupancy
Ta1 0.0000 0.0000 0.0000 1
Cr1 0.0000 0.0000 0.2453 1
Ru1 0.0000 0.0000 0.5047 1
Ru2 0.0000 0.0000 0.7535 1

(3)
# Ta2CrRu | Alexandria | SCAN | single point on PBEsol structure
# Magnetic moment in μB/cell: 0.0
# Energy relative to the lowest polymorph listed for this composition in meV per atom: 11
data_Ta2CrRu
_chemical_formula_sum 'Ta8 Cr4 Ru4'
_cell_length_a 6.1954
_cell_length_b 6.1954
_cell_length_c 6.1954
_cell_angle_alpha 90.00
_cell_angle_beta 90.00
_cell_angle_gamma 90.00
_space_group_name_H-M_alt 'F m -3 m'
_space_group_IT_number 225
_space_group_name_Hall '-F 4 2 3'
loop_
_atom_site_label
_atom_site_fract_x
_atom_site_fract_y
_atom_site_fract_z
_atom_site_occupancy
Ta1 0.2500 0.2500 0.2500 1
Cr1 0.0000 0.0000 0.0000 1
Ru1 0.0000 0.0000 0.5000 1

(4)
# TaCrRu2 | Alexandria | SCAN | single point on PBEsol structure
# Magnetic moment in μB/cell: 3.0
# Raw total energy in eV/atom: -38.9582
data_TaCrRu2
_chemical_formula_sum 'Ta1 Cr1 Ru2'
_cell_length_a 4.2894
_cell_length_b 4.2894
_cell_length_c 3.1028
_cell_angle_alpha 90.00
_cell_angle_beta 90.00
_cell_angle_gamma 90.00
_space_group_name_H-M_alt 'P 4/m m m'
_space_group_IT_number 123
_space_group_name_Hall '-P 4 2'
loop_
_atom_site_label
_atom_site_fract_x
_atom_site_fract_y
_atom_site_fract_z
_atom_site_occupancy
Ta1 0.0000 0.0000 0.0000 1
Cr1 0.5000 0.5000 0.0000 1
Ru1 0.0000 0.5000 0.5000 1